No. 1
KBaTl2: optimized geometry, PBE.

Lattice parameters (Å, degrees): 5.9810 4.1529 6.1945 89.99 90.00 90.00
Positions (direct):
Tl 0.0000 0.1251 0.9273
Tl 0.5000 0.1250 0.3199
K 0.5000 0.6253 0.8466
Ba 0.0000 0.6247 0.4061

As for the symmetry: Pmm2. As for the energy of formation from the pure elements: -0.9 eV/f.u. The value obtained for the excess energy over the best structure of this formula in the dataset is 0.0000 eV per atom. For the total magnetization, the calculation gives 0.00 μB per cell.

***

No. 2
Pu3RhPb: optimized geometry, PBE.

Lattice parameters (Å, degrees): 7.1891 7.1891 7.1891 90.00 90.00 90.00
Site moments in Bohr magnetons follow the coordinates.
Positions (direct):
Rh 0.5000 0.0000 0.0000  -0.32
Pu 0.2193 0.2193 0.7807  5.41
Rh 0.0000 0.0000 0.5000  -0.32
Pb 0.0000 0.5000 0.5000  -0.10
Pu 0.7807 0.7807 0.7807  5.41
Pu 0.7807 0.2193 0.2193  5.41
Pu 0.2193 0.7807 0.2193  5.41
Pu 0.7807 0.7807 0.2193  5.41
Pb 0.5000 0.5000 0.0000  -0.10
Pu 0.2193 0.2193 0.2193  5.41
Rh 0.0000 0.5000 0.0000  -0.32
Pu 0.2193 0.7807 0.7807  5.41
Pu 0.5000 0.5000 0.5000  5.78
Pb 0.5000 0.0000 0.5000  -0.10
Pu 0.7807 0.2193 0.7807  5.41

As for the symmetry: Pm-3m. As for the energy of formation from the pure elements: -0.5 eV/f.u. The value obtained for the excess energy over the best structure of this formula in the dataset is 0.0000 eV per atom. For the total magnetization, the calculation gives 50.43 μB per cell.

***

No. 3
GeBH: optimized geometry, PBE.

Lattice parameters (Å, degrees): 7.1731 3.2084 5.6803 90.00 90.00 90.00
Positions (direct):
H 0.8815 0.7500 0.4989
B 0.0000 0.0000 0.0000
B 0.5000 0.0000 0.5000
Ge 0.8148 0.2500 0.3584
B 0.0000 0.5000 0.0000
Ge 0.6852 0.7500 0.8584
Ge 0.3148 0.2500 0.1416
H 0.1185 0.2500 0.5011
Ge 0.1852 0.7500 0.6416
H 0.3815 0.7500 0.0011
H 0.6185 0.2500 0.9989
B 0.5000 0.5000 0.5000

As for the symmetry: Pnma. The value obtained for the excess energy over the best structure of this formula in the dataset is 0.3768 eV per atom. For the total magnetization, the calculation gives 0.00 μB per cell.

***

No. 4
KNa2Sc: optimized geometry, PBE.

Lattice parameters (Å, degrees): 3.5175 3.5175 14.0228 82.79 82.79 60.00
Site moments in Bohr magnetons follow the coordinates.
Positions (direct):
Sc 0.0000 0.0000 0.0000  0.30
Na 0.0787 0.0787 0.7640  0.00
Na 0.9213 0.9213 0.2360  0.00
K 0.5000 0.5000 0.5000  0.00

As for the symmetry: R-3m. As for the energy of formation from the pure elements: 1.7 eV/f.u. The value obtained for the excess energy over the best structure of this formula in the dataset is 0.0000 eV per atom. For the total magnetization, the calculation gives 0.55 μB per cell.

***

No. 5
Cs3Dy3InTe8: optimized geometry, PBE.

Lattice parameters (Å, degrees): 8.8364 8.8522 10.5628 114.86 90.00 119.94
Positions (direct):
Te 0.2288 0.9587 0.6877
Cs 0.0000 0.5000 0.0000
Dy 0.5000 0.5000 0.5000
In 0.0000 0.0000 0.5000
Te 0.7715 0.5429 0.3126
Dy 0.5000 0.0000 0.5000
Cs 0.5000 0.5000 0.0000
Te 0.7304 0.4608 0.6911
Dy 0.0000 0.5000 0.5000
Te 0.2285 0.4571 0.6874
Cs 0.0000 0.0000 0.0000
Te 0.7299 0.9587 0.6877
Te 0.2701 0.0413 0.3123
Te 0.7712 0.0413 0.3123
Te 0.2696 0.5392 0.3089

As for the symmetry: C2/m. The uncorrected formation energy comes out at -1103 meV per atom. For the total magnetization, the calculation gives 0.00 μB per cell.

***

No. 6
Rb2TeIrRh: optimized geometry, PBE.

Lattice parameters (Å, degrees): 6.6349 4.8699 6.6349 90.00 90.00 90.00
Site moments in Bohr magnetons follow the coordinates.
Positions (direct):
Te 0.0000 0.5000 0.0000  0.01
Ir 0.0000 0.0000 0.0000  0.00
Rb 0.0000 0.0000 0.5000  0.00
Rb 0.5000 0.0000 0.0000  0.00
Rh 0.5000 0.5000 0.5000  1.54

As for the symmetry: P4/mmm. The uncorrected formation energy comes out at 822 meV per atom. For the total magnetization, the calculation gives 2.08 μB per cell.

***

Question: Which formula does entry 3 have?
Answer: GeBH

***

What did the fourth record say?
KNa2Sc: optimized geometry, PBE.

Lattice parameters (Å, degrees): 3.5175 3.5175 14.0228 82.79 82.79 60.00
Site moments in Bohr magnetons follow the coordinates.
Positions (direct):
Sc 0.0000 0.0000 0.0000  0.30
Na 0.0787 0.0787 0.7640  0.00
Na 0.9213 0.9213 0.2360  0.00
K 0.5000 0.5000 0.5000  0.00

As for the symmetry: R-3m. As for the energy of formation from the pure elements: 1.7 eV/f.u. The value obtained for the excess energy over the best structure of this formula in the dataset is 0.0000 eV per atom. For the total magnetization, the calculation gives 0.55 μB per cell.